RbPdN | PBE | relaxed

Cell: 8.556 6.682 7.031 Å, 90.00 122.12 90.00°
Space group C2/m (No. 12)
One atom of each set of equivalent atoms:
Rb1 0.246 0.000 0.267 [4 per cell]
Pd1 0.159 0.000 0.692 [4 per cell]
N1 0.080 0.500 0.050 [4 per cell]

Output
theoretical density = 4.02 Mg/m³
E = -4.814 eV per atom
uncorrected formation energy = 0.01 eV per atom